Material: NaPSe2Br
Method: DFT, GGA-PBEsol
State: relaxed

Summary:
- energy above the lowest structure with this stoichiometry (meV per atom) = 0
- ΔE_f (raw) (eV/atom) = -0.23
- D(E_F) (states/eV per cell) = 1.60

Geometry as CIF:
```
data_NaPSe2Br
_cell_length_a 4.786
_cell_length_b 4.786
_cell_length_c 5.364
_cell_angle_alpha 90.00
_cell_angle_beta 90.00
_cell_angle_gamma 90.00
_symmetry_space_group_name_H-M 'P 4/m m m'
_symmetry_Int_Tables_number 123
_symmetry_space_group_name_Hall '-P 4 2'
loop_
_atom_site_label
_atom_site_fract_x
_atom_site_fract_y
_atom_site_fract_z
_atom_site_occupancy
Na1 0.000 0.000 0.000 1
P1 0.500 0.500 0.500 1
Se1 0.000 0.500 0.500 1
Br1 0.500 0.500 0.000 1
```

=====

Material: Na2TePBr
Method: DFT, GGA-PBEsol
State: relaxed

Summary:
- ΔE_f (raw) (eV/atom) = -0.01
- D(E_F) (states/eV per cell) = 5.80

Geometry as CIF:
```
data_Na2TePBr
_cell_length_a 5.733
_cell_length_b 5.733
_cell_length_c 4.642
_cell_angle_alpha 90.00
_cell_angle_beta 90.00
_cell_angle_gamma 90.00
_symmetry_space_group_name_H-M 'P 4/m m m'
_symmetry_Int_Tables_number 123
_symmetry_space_group_name_Hall '-P 4 2'
loop_
_atom_site_label
_atom_site_fract_x
_atom_site_fract_y
_atom_site_fract_z
_atom_site_occupancy
Na1 0.000 0.500 0.000 1
Te1 0.000 0.000 0.500 1
P1 0.500 0.500 0.000 1
Br1 0.500 0.500 0.500 1
```